(1)
! PBE-GGA MnTl4Cl5, optimized geometry; values from VASP
! **Symmetry**: No. 87
! **Theoretical density**: 5.9 g cm⁻³
! **Total DFT energy (no corrections)**: -0.26471 Ry per atom
&SYSTEM
  ibrav = 0, nat = 10, ntyp = 3
/
ATOMIC_SPECIES
Mn 54.94 Mn.upf
Tl 204.38 Tl.upf
Cl 35.45 Cl.upf
CELL_PARAMETERS angstrom
-1.769 -4.741 1.411
-0.541 -4.628 -6.449
6.178 -4.688 1.776
ATOMIC_POSITIONS crystal
Mn 0.001 0.000 0.000
Tl 0.466 0.331 0.738
Tl 0.798 0.738 0.669
Tl 0.204 0.262 0.331
Tl 0.536 0.669 0.262
Cl 0.835 0.333 0.999
Cl 0.168 0.999 0.667
Cl 0.834 0.001 0.333
Cl 0.167 0.667 0.001
Cl 0.501 0.000 0.000

=====

(2)
! PBE-GGA K4BaOs, optimized geometry; values from VASP
! **Symmetry**: No. 216
! **Theoretical density**: 3.0 g cm⁻³
! **E_form**: 6.9 eV/f.u.
! **Total DFT energy (no corrections)**: -0.13047 Ry per atom
&SYSTEM
  ibrav = 0, nat = 6, ntyp = 3
/
ATOMIC_SPECIES
K 39.10 K.upf
Ba 137.33 Ba.upf
Os 190.23 Os.upf
CELL_PARAMETERS angstrom
-3.299 1.517 6.281
-2.263 6.755 1.370
-7.098 1.498 0.100
ATOMIC_POSITIONS crystal
K 0.622 0.622 0.622
K 0.622 0.622 0.134
K 0.622 0.134 0.622
K 0.134 0.622 0.622
Ba 0.000 0.000 0.000
Os 0.250 0.250 0.250

=====

(3)
! PBE-GGA UCd4Pt15, optimized geometry; values from VASP
! **Symmetry**: No. 123
! **Theoretical density**: 17.9 g cm⁻³
! **E_form**: -6.6 eV/f.u.
! **Total DFT energy (no corrections)**: -0.41205 Ry per atom
&SYSTEM
  ibrav = 0, nat = 20, ntyp = 3
/
ATOMIC_SPECIES
U 238.03 U.upf
Cd 112.41 Cd.upf
Pt 195.08 Pt.upf
CELL_PARAMETERS angstrom
4.077 0.000 0.000
0.000 4.077 0.000
0.000 0.000 20.175
ATOMIC_POSITIONS crystal
U 0.000 0.000 0.000
Cd 0.000 0.000 0.204
Cd 0.000 0.000 0.401
Cd 0.000 0.000 0.599
Cd 0.000 0.000 0.796
Pt 0.500 0.500 0.000
Pt 0.500 0.500 0.203
Pt 0.500 0.500 0.402
Pt 0.500 0.500 0.598
Pt 0.500 0.500 0.797
Pt 0.500 0.000 0.099
Pt 0.500 0.000 0.302
Pt 0.500 0.000 0.500
Pt 0.500 0.000 0.698
Pt 0.500 0.000 0.901
Pt 0.000 0.500 0.099
Pt 0.000 0.500 0.302
Pt 0.000 0.500 0.500
Pt 0.000 0.500 0.698
Pt 0.000 0.500 0.901

=====

(4)
! PBE-GGA CsRb2MgTl, optimized geometry; values from VASP
! **Symmetry**: No. 123
! **Excess energy over the best structure of this formula in the dataset**: 0 meV/atom
! **Theoretical density**: 2.9 g cm⁻³
! **E_form**: 0.4 eV/f.u.
! **Total DFT energy (no corrections)**: -0.09276 Ry per atom
&SYSTEM
  ibrav = 0, nat = 5, ntyp = 4
/
ATOMIC_SPECIES
Cs 132.91 Cs.upf
Tl 204.38 Tl.upf
Mg 24.30 Mg.upf
Rb 85.47 Rb.upf
CELL_PARAMETERS angstrom
7.293 0.000 0.000
0.000 7.293 0.000
0.000 0.000 5.814
ATOMIC_POSITIONS crystal
Cs 0.500 0.500 0.500
Tl 0.000 0.000 0.000
Mg 0.000 0.000 0.500
Rb 0.000 0.500 0.000
Rb 0.500 0.000 0.000

=====

(5)
! PBE-GGA CaDySnHg, optimized geometry; values from VASP
! **Symmetry**: No. 99
! **Theoretical density**: 8.0 g cm⁻³
! **E_form**: -2.3 eV/f.u.
! **Total DFT energy (no corrections)**: -0.24266 Ry per atom
&SYSTEM
  ibrav = 0, nat = 4, ntyp = 4
/
ATOMIC_SPECIES
Ca 40.08 Ca.upf
Dy 162.50 Dy.upf
Sn 118.71 Sn.upf
Hg 200.59 Hg.upf
CELL_PARAMETERS angstrom
3.766 0.000 0.000
0.000 3.766 0.000
0.000 0.000 7.624
ATOMIC_POSITIONS crystal
Ca 0.000 0.000 0.352
Dy 0.000 0.000 0.863
Sn 0.500 0.500 0.615
Hg 0.500 0.500 0.098

=====

(6)
! PBE-GGA LuTi3C, optimized geometry; values from VASP
! **Symmetry**: No. 221
! **Theoretical density**: 6.6 g cm⁻³
! **E_form**: -0.7 eV/f.u.
! **Total DFT energy (no corrections)**: -0.56079 Ry per atom
&SYSTEM
  ibrav = 0, nat = 5, ntyp = 3
/
ATOMIC_SPECIES
C 12.01 C.upf
Lu 174.97 Lu.upf
Ti 47.87 Ti.upf
CELL_PARAMETERS angstrom
-2.618 -0.808 3.396
-2.213 -2.900 -2.395
2.700 -3.159 1.330
ATOMIC_POSITIONS crystal
C 0.000 0.000 0.000
Lu 0.500 0.500 0.500
Ti 0.000 0.500 0.000
Ti 0.000 0.000 0.500
Ti 0.500 0.000 0.000

=====

Question: The highest total DFT energy (no corrections) belongs to which entry?
Answer: CsRb2MgTl

=====

Question: What is the formula in the fifth record?
Answer: CaDySnHg

=====

What did the third record say?
! PBE-GGA UCd4Pt15, optimized geometry; values from VASP
! **Symmetry**: No. 123
! **Theoretical density**: 17.9 g cm⁻³
! **E_form**: -6.6 eV/f.u.
! **Total DFT energy (no corrections)**: -0.41205 Ry per atom
&SYSTEM
  ibrav = 0, nat = 20, ntyp = 3
/
ATOMIC_SPECIES
U 238.03 U.upf
Cd 112.41 Cd.upf
Pt 195.08 Pt.upf
CELL_PARAMETERS angstrom
4.077 0.000 0.000
0.000 4.077 0.000
0.000 0.000 20.175
ATOMIC_POSITIONS crystal
U 0.000 0.000 0.000
Cd 0.000 0.000 0.204
Cd 0.000 0.000 0.401
Cd 0.000 0.000 0.599
Cd 0.000 0.000 0.796
Pt 0.500 0.500 0.000
Pt 0.500 0.500 0.203
Pt 0.500 0.500 0.402
Pt 0.500 0.500 0.598
Pt 0.500 0.500 0.797
Pt 0.500 0.000 0.099
Pt 0.500 0.000 0.302
Pt 0.500 0.000 0.500
Pt 0.500 0.000 0.698
Pt 0.500 0.000 0.901
Pt 0.000 0.500 0.099
Pt 0.000 0.500 0.302
Pt 0.000 0.500 0.500
Pt 0.000 0.500 0.698
Pt 0.000 0.500 0.901

=====

Question: The highest theoretical density belongs to which entry?
Answer: UCd4Pt15